# 1
The following is a PBE-GGA calculation of an optimized crystal structure of Tb3AuN, from Alexandria.

Properties
ΔE_f (raw): -942 meV/atom
D(E_F): 5.87 states/eV per cell
Energy: -30.20 eV for the cell shown

a = 4.7824 Å, b = 4.7824 Å, c = 4.7824 Å
α = 90.00°, β = 90.00°, γ = 90.00°
Sites, in units of the cell vectors:
Tb 0.0000 0.5000 0.0000
Tb 0.0000 0.0000 0.5000
Tb 0.5000 0.0000 0.0000
Au 0.5000 0.5000 0.5000
N 0.0000 0.0000 0.0000



# 2
The following is a PBE-GGA calculation of an optimized crystal structure of Nb2VC, from Alexandria.

Properties
E_form: 152 meV per atom
D(E_F): 2.74 states/eV per cell
Energy: -37.87 eV for the cell shown

a = 3.0403 Å, b = 3.0403 Å, c = 7.8301 Å
α = 78.81°, β = 78.81°, γ = 60.00°
Sites, in units of the cell vectors:
Nb 0.1104 0.1104 0.6687
Nb 0.8896 0.8896 0.3313
C 0.5000 0.5000 0.5000
V 0.0000 0.0000 0.0000